TmZrCd: optimized geometry, PBE.

Properties
distance to the lowest polymorph of the same formula	0.000	eV per atom
formation energy from the elements	-0.15	eV/atom

Lattice parameters (Å, degrees): 3.3675 3.3675 12.9743 90.00 90.00 90.00
Closest atoms and distances in Å follow each position.
Space group I4mm (No. 107)
One atom of each set of equivalent atoms:
Tm 0.0000 0.0000 0.0000 [2 per cell]  4 Zr 3.25, 4 Cd 3.27, 4 Tm 3.37
Zr 0.0000 0.0000 0.6702 [2 per cell]  4 Cd 3.14, 4 Tm 3.25, 4 Zr 3.37
Cd 0.0000 0.0000 0.3274 [2 per cell]  4 Zr 3.14, 4 Tm 3.27, 4 Cd 3.37